[1]
Compound: NbBiSCl2
Source: the Alexandria database
Functional: PBE
Structure: relaxed

Output
Its space-group type is P4/mmm, No. 123. Its crystal system is tetragonal. As for the density of states at the Fermi level: 1.173 states/eV per atom.

Cell and atoms, written as CIF:
```
data_NbBiSCl2
_cell_length_a 4.9317
_cell_length_b 4.9317
_cell_length_c 4.8887
_cell_angle_alpha 90.00
_cell_angle_beta 90.00
_cell_angle_gamma 90.00
_space_group_name_H-M_alt 'P 1'
_space_group_IT_number 1
loop_
_space_group_symop_operation_xyz
'x,y,z'
loop_
_atom_site_label
_atom_site_type_symbol
_atom_site_fract_x
_atom_site_fract_y
_atom_site_fract_z
Nb1 Nb 0.0000 0.0000 0.0000
Bi1 Bi 0.5000 0.5000 0.5000
S1 S 0.0000 0.0000 0.5000
Cl1 Cl 0.0000 0.5000 0.0000
Cl2 Cl 0.5000 0.0000 0.0000
```

[2]
Compound: NbBiSCl2
Source: the Alexandria database
Functional: PBE
Structure: relaxed

Output
Its space-group type is P4/mmm, No. 123. Its crystal system is tetragonal. As for the density of states at the Fermi level: 1.324 states/eV per atom.

Cell and atoms, written as CIF:
```
data_NbBiSCl2
_cell_length_a 5.3451
_cell_length_b 5.3451
_cell_length_c 5.4559
_cell_angle_alpha 90.00
_cell_angle_beta 90.00
_cell_angle_gamma 90.00
_space_group_name_H-M_alt 'P 1'
_space_group_IT_number 1
loop_
_space_group_symop_operation_xyz
'x,y,z'
loop_
_atom_site_label
_atom_site_type_symbol
_atom_site_fract_x
_atom_site_fract_y
_atom_site_fract_z
Nb1 Nb 0.0000 0.0000 0.0000
Bi1 Bi 0.5000 0.5000 0.5000
S1 S 0.5000 0.5000 0.0000
Cl1 Cl 0.0000 0.5000 0.5000
Cl2 Cl 0.5000 0.0000 0.5000
```

[3]
Compound: TiNbBiCl2
Source: the Alexandria database
Functional: PBE
Structure: relaxed

Output
Its space-group type is P4/mmm, No. 123. Its crystal system is tetragonal. As for the density of states at the Fermi level: 1.174 states/eV per atom.

Cell and atoms, written as CIF:
```
data_TiNbBiCl2
_cell_length_a 5.3494
_cell_length_b 5.3494
_cell_length_c 5.8748
_cell_angle_alpha 90.00
_cell_angle_beta 90.00
_cell_angle_gamma 90.00
_space_group_name_H-M_alt 'P 1'
_space_group_IT_number 1
loop_
_space_group_symop_operation_xyz
'x,y,z'
loop_
_atom_site_label
_atom_site_type_symbol
_atom_site_fract_x
_atom_site_fract_y
_atom_site_fract_z
Ti1 Ti 0.0000 0.0000 0.0000
Nb1 Nb 0.5000 0.5000 0.0000
Bi1 Bi 0.5000 0.5000 0.5000
Cl1 Cl 0.0000 0.5000 0.5000
Cl2 Cl 0.5000 0.0000 0.5000
```

[4]
Compound: Nb2VBiCl
Source: the Alexandria database
Functional: PBE
Structure: relaxed

Output
Its space-group type is P4/mmm, No. 123. Its crystal system is tetragonal. As for the density of states at the Fermi level: 1.222 states/eV per atom.

Cell and atoms, written as CIF:
```
data_Nb2VBiCl
_cell_length_a 4.7681
_cell_length_b 4.7681
_cell_length_c 5.1657
_cell_angle_alpha 90.00
_cell_angle_beta 90.00
_cell_angle_gamma 90.00
_space_group_name_H-M_alt 'P 1'
_space_group_IT_number 1
loop_
_space_group_symop_operation_xyz
'x,y,z'
loop_
_atom_site_label
_atom_site_type_symbol
_atom_site_fract_x
_atom_site_fract_y
_atom_site_fract_z
Nb1 Nb 0.0000 0.5000 0.0000
Nb2 Nb 0.5000 0.0000 0.0000
V1 V 0.0000 0.0000 0.0000
Bi1 Bi 0.0000 0.0000 0.5000
Cl1 Cl 0.5000 0.5000 0.5000
```

[5]
Compound: Zr2NbBiCl
Source: the Alexandria database
Functional: PBE
Structure: relaxed

Output
Its space-group type is P4/mmm, No. 123. Its crystal system is tetragonal. As for the density of states at the Fermi level: 0.889 states/eV per atom.

Cell and atoms, written as CIF:
```
data_Zr2NbBiCl
_cell_length_a 4.6904
_cell_length_b 4.6904
_cell_length_c 5.5539
_cell_angle_alpha 90.00
_cell_angle_beta 90.00
_cell_angle_gamma 90.00
_space_group_name_H-M_alt 'P 1'
_space_group_IT_number 1
loop_
_space_group_symop_operation_xyz
'x,y,z'
loop_
_atom_site_label
_atom_site_type_symbol
_atom_site_fract_x
_atom_site_fract_y
_atom_site_fract_z
Zr1 Zr 0.0000 0.5000 0.0000
Zr2 Zr 0.5000 0.0000 0.0000
Nb1 Nb 0.0000 0.0000 0.5000
Bi1 Bi 0.5000 0.5000 0.5000
Cl1 Cl 0.5000 0.5000 0.0000
```

[6]
Compound: Nd2BiCl2
Source: the Alexandria database
Functional: PBE
Structure: relaxed

Output
Its space-group type is R-3m, No. 166. Its crystal system is trigonal. As for the density of states at the Fermi level: 0.451 states/eV per atom.

Cell and atoms, written as CIF:
```
data_Nd2BiCl2
_cell_length_a 10.7594
_cell_length_b 10.7594
_cell_length_c 10.7594
_cell_angle_alpha 23.41
_cell_angle_beta 23.41
_cell_angle_gamma 23.41
_space_group_name_H-M_alt 'P 1'
_space_group_IT_number 1
loop_
_space_group_symop_operation_xyz
'x,y,z'
loop_
_atom_site_label
_atom_site_type_symbol
_atom_site_fract_x
_atom_site_fract_y
_atom_site_fract_z
Nd1 Nd 0.1062 0.1062 0.1062
Nd2 Nd 0.8938 0.8938 0.8938
Bi1 Bi 0.5000 0.5000 0.5000
Cl1 Cl 0.2762 0.2762 0.2762
Cl2 Cl 0.7238 0.7238 0.7238
```

no.,raw total energy (eV/atom),formation energy from raw total energies (eV/atom)
1,-4.59,-0.236
2,-3.81,0.539
3,-4.08,1.033
4,-6.03,0.967
5,-6.04,0.539
6,-4.97,-1.552